Entry 1:
8
Lattice="-1.014 -4.342 -0.041 0.057 0.042 -5.818 6.851 -1.626 2.720" Properties=species:S:1:pos:R:3 comment="Pu2ZnPt (PBE, optimized geometry)" space_group="P2_1/m (11)" formation_energy_ev_per_fu=-1.6 mass_density_g_cm3=13.56 pbc="T T T"
Zn 4.630 -4.501 -1.665
Pt 4.625 -2.223 -0.226
Zn 1.263 -1.426 -1.474
Pu 3.752 -1.992 -3.164
Pu 0.335 -1.182 -4.379
Pu 5.559 -4.745 1.240
Pu 2.142 -3.935 0.025
Pt 1.269 -3.704 -2.913

Entry 2:
12
Lattice="-3.588 -3.428 -2.356 -0.537 -3.216 5.496 -4.801 2.962 3.003" Properties=species:S:1:pos:R:3 comment="PuZn2Pt3 (PBE, optimized geometry)" space_group="Cmcm (63)" formation_energy_ev_per_fu=-3.2 mass_density_g_cm3=14.62 pbc="T T T"
Zn -4.162 -0.198 6.627
Zn -2.970 -1.770 0.694
Zn -1.176 -0.056 1.872
Pu -6.006 -1.763 2.105
Pt -7.487 0.383 1.239
Zn -5.956 -1.912 5.449
Pt -5.238 -3.993 4.181
Pu -2.920 -1.920 4.038
Pt -3.744 -3.922 1.801
Pt -3.688 0.310 1.963
Pt -1.439 -4.065 4.904
Pt -5.182 0.239 4.342

Entry 3:
19
Lattice="-5.158 3.835 2.262 -4.963 -3.021 -3.560 -2.146 -4.221 4.899" Properties=species:S:1:pos:R:3 comment="Pu2Zn16Pt (PBE, optimized geometry)" space_group="R3m (160)" formation_energy_ev_per_fu=-3.8 mass_density_g_cm3=9.29 pbc="T T T"
Zn -7.972 -4.891 0.566
Pt -11.026 -3.062 3.236
Zn -5.409 -4.107 1.218
Pu -8.156 -2.265 2.394
Zn -8.110 -0.032 4.692
Zn -9.229 -1.529 -0.534
Zn -9.286 0.469 1.162
Zn -11.179 -1.303 1.159
Zn -6.767 -2.680 -0.459
Zn -6.862 0.662 2.379
Zn -9.682 -5.307 2.470
Pu -4.170 -1.158 1.224
Zn -7.233 -2.380 5.461
Zn -5.505 -0.717 4.097
Zn -9.779 -1.899 5.364
Zn -6.898 -0.123 -0.087
Zn -5.394 -3.265 3.664
Zn -1.259 -0.350 0.370
Zn -7.152 -5.241 3.031

Entry 4:
12
Lattice="2.835 0.000 0.000 0.000 8.891 0.000 0.000 -4.446 7.700" Properties=species:S:1:pos:R:3 comment="PuZn9Pt2 (PBE, optimized geometry)" space_group="P6/mmm (191)" de_polymorph_mev_per_atom=60 formation_energy_ev_per_fu=-3.3 mass_density_g_cm3=10.46 pbc="T T T"
Pu 0.000 0.000 0.000
Zn 0.000 4.446 0.000
Pt 0.000 4.446 2.567
Zn 1.417 0.000 2.803
Zn 1.417 2.018 6.298
Zn 1.417 -2.018 6.298
Zn 0.000 -2.223 3.850
Zn 1.417 6.463 1.402
Zn 0.000 2.223 3.850
Zn 1.417 4.446 4.897
Pt 0.000 0.000 5.133
Zn 1.417 2.428 1.402

Entry 5:
14
Lattice="-2.774 -0.470 -3.225 2.495 -6.446 -4.047 -4.658 -6.776 2.153" Properties=species:S:1:pos:R:3 comment="Pu3Zn7Pt4 (PBE, optimized geometry)" space_group="C2/m (12)" formation_energy_ev_per_fu=-7.4 mass_density_g_cm3=12.60 pbc="T T T"
Zn 0.812 -4.612 -2.867
Pt -3.184 -8.908 -1.644
Pt -3.207 -5.233 0.681
Pu -3.620 -10.882 -3.821
Zn -3.718 -4.677 -1.800
Zn -1.219 -9.014 -3.318
Zn -5.749 -9.079 -2.252
Pu -1.317 -2.809 -1.298
Pu -1.081 -6.611 -0.947
Zn -4.649 -7.038 -0.656
Zn -0.288 -6.653 -4.463
Pt -1.753 -4.783 -3.475
Pt -1.730 -8.458 -5.799
Zn 0.000 0.000 0.000

Entry 6:
16
Lattice="-4.895 -1.464 2.194 -0.360 -6.478 -5.123 3.561 -0.790 7.418" Properties=species:S:1:pos:R:3 comment="Pu3Zn2Pt3 (PBE, optimized geometry)" space_group="P6_3/mcm (193)" formation_energy_ev_per_fu=-4.7 mass_density_g_cm3=14.61 pbc="T T T"
Zn 0.947 -4.582 -0.943
Pt -1.527 -1.573 6.113
Pu -2.733 -1.306 3.601
Pu -0.380 -2.282 1.153
Pu -1.314 -6.450 3.336
Pu 1.398 -0.948 6.011
Pt -3.888 -4.999 -1.440
Pu -1.489 -5.136 -3.224
Pu -3.766 -2.805 0.295
Pt 0.704 -4.743 1.931
Pt -1.367 -2.942 -1.489
Zn -1.500 -5.313 0.154
Zn 2.254 -2.686 3.238
Zn -0.194 -3.418 4.335
Pt 0.193 -0.680 3.499
Pt -2.398 -3.988 2.558

Entry 7:
18
Lattice="5.826 0.000 0.000 0.000 5.826 0.000 0.000 0.000 9.030" Properties=species:S:1:pos:R:3 comment="PuZn4Pt4 (PBE, optimized geometry)" space_group="P4_2/nmc (137)" formation_energy_ev_per_fu=-4.2 mass_density_g_cm3=13.94 pbc="T T T"
Pt 4.455 2.913 1.945
Zn 0.000 1.631 3.823
Pu 2.913 2.913 4.515
Pt 1.371 2.913 1.945
Zn 2.913 4.543 0.692
Pt 4.284 0.000 2.570
Zn 4.543 2.913 8.338
Zn 0.000 4.195 3.823
Zn 4.195 0.000 5.207
Zn 2.913 1.282 0.692
Pu 0.000 0.000 0.000
Zn 1.282 2.913 8.338
Zn 1.631 0.000 5.207
Pt 0.000 1.542 6.460
Pt 2.913 4.455 7.085
Pt 1.542 0.000 2.570
Pt 2.913 1.371 7.085
Pt 0.000 4.284 6.460

Entry 8:
4
Lattice="2.911 0.000 0.000 1.455 2.521 0.000 1.455 0.840 9.452" Properties=species:S:1:pos:R:3 comment="PuZn2Pt (PBE, optimized geometry)" space_group="R-3m (166)" formation_energy_ev_per_fu=-0.7 mass_density_g_cm3=13.65 pbc="T T T"
Zn 1.455 0.840 2.077
Pu 2.911 1.680 4.726
Pt 0.000 0.000 0.000
Zn 4.366 2.521 7.375

Entry 9:
6
Lattice="-0.573 -5.102 0.991 2.063 -3.542 -3.246 4.116 -2.848 1.512" Properties=species:S:1:pos:R:3 comment="PuZn4Pt (PBE, optimized geometry)" space_group="F-43m (216)" de_polymorph_mev_per_atom=66 formation_energy_ev_per_fu=-1.5 mass_density_g_cm3=11.51 pbc="T T T"
Zn 3.497 -7.169 -0.463
Pt 1.402 -2.873 -0.186
Zn 2.475 -5.414 1.145
Pu 0.000 0.000 0.000
Zn 1.458 -5.758 -1.212
Zn 3.781 -4.641 -0.954

Entry 10:
4
Lattice="3.135 0.000 0.000 0.000 3.135 0.000 0.000 0.000 7.314" Properties=species:S:1:pos:R:3 comment="PuZn2Pt (PBE, optimized geometry)" space_group="P4/mmm (123)" formation_energy_ev_per_fu=-1.3 mass_density_g_cm3=13.16 pbc="T T T"
Pt 1.568 1.568 0.000
Pu 1.568 1.568 3.657
Zn 0.000 0.000 5.857
Zn 0.000 0.000 1.457

Entry 11:
4
Lattice="-4.201 0.131 0.387 0.134 -3.573 2.663 0.410 2.663 3.552" Properties=species:S:1:pos:R:3 comment="Pu2ZnPt (PBE, optimized geometry)" space_group="P4/mmm (123)" formation_energy_ev_per_fu=-1.5 mass_density_g_cm3=14.81 pbc="T T T"
Pu 0.067 -1.787 1.332
Pu 0.205 1.331 1.776
Zn -2.101 0.065 0.193
Pt -1.829 -0.390 3.301

Entry 12:
8
Lattice="3.757 0.000 1.249 1.508 5.968 1.739 -0.040 0.058 6.397" Properties=species:S:1:pos:R:3 comment="PuZn5Pt2 (PBE, optimized geometry)" space_group="Immm (71)" formation_energy_ev_per_fu=-3.3 mass_density_g_cm3=11.12 pbc="T T T"
Zn 3.234 3.202 2.824
Zn 0.734 3.013 4.068
Zn 2.557 4.983 4.860
Zn 2.669 1.043 4.525
Zn 1.992 2.825 6.561
Pu 0.000 0.000 0.000
Pt 3.874 4.638 7.174
Pt 1.351 1.389 2.211